The following is a SCAN calculation of CaSbTe2I at its PBEsol-relaxed geometry, from Alexandria via LeMat-Bulk.

Cell: 5.7526 5.7526 5.7092 Å, 90.00 90.00 90.00°
Last column: nearest neighbours and their distance in Å.
Space group P4/mmm (No. 123)
Asymmetric unit:
1 Ca 0.0000 0.0000 0.0000 (multiplicity 1)  8 Te 4.05, 4 I 4.07
2 Sb 0.5000 0.5000 0.5000 (multiplicity 1)  2 I 2.85, 4 Te 2.88
3 Te 0.0000 0.5000 0.5000 (multiplicity 2)  2 Sb 2.88
4 I 0.5000 0.5000 0.0000 (multiplicity 1)  2 Sb 2.85

Calculated values
magnetization: 0.00 μB/f.u.
raw total energy: -159.78 eV per formula unit
ΔE_f (raw): -323 meV per atom